Record 1
Density functional theory data (PBE-GGA) for a geometry-optimized SrTaTi2Mn structure.

a = 4.695 Å, b = 4.695 Å, c = 4.345 Å
α = 90.00°, β = 90.00°, γ = 90.00°
Space group P4/mmm (No. 123)
Symmetry-distinct sites (fractional):
Sr 0.000 0.000 0.000
Ta 0.500 0.500 0.500
Ti 0.000 0.500 0.000
Mn 0.000 0.000 0.500

Values from the calculation:
DOS(E_F): 9.69 states/eV/f.u.
crystal system: tetragonal
spin magnetization: 0.00 μB per formula unit
E_form: 210 kJ per mole of atoms



Record 2
Density functional theory data (PBE-GGA) for a geometry-optimized SrTaMnW2 structure.

a = 4.710 Å, b = 4.710 Å, c = 4.774 Å
α = 90.00°, β = 90.00°, γ = 90.00°
Space group P4/mmm (No. 123)
Symmetry-distinct sites (fractional):
Sr 0.000 0.000 0.000
Ta 0.000 0.000 0.500
Mn 0.500 0.500 0.500
W 0.000 0.500 0.000

Values from the calculation:
DOS(E_F): 9.51 states/eV/f.u.
crystal system: tetragonal
spin magnetization: 0.07 μB per formula unit
E_form: 365 kJ per mole of atoms



Record 3
Density functional theory data (PBE-GGA) for a geometry-optimized SrZrTa2Mn structure.

a = 4.764 Å, b = 4.764 Å, c = 5.056 Å
α = 90.00°, β = 90.00°, γ = 90.00°
Space group P4/mmm (No. 123)
Symmetry-distinct sites (fractional):
Sr 0.000 0.000 0.000
Zr 0.500 0.500 0.000
Ta 0.000 0.500 0.500
Mn 0.500 0.500 0.500

Values from the calculation:
DOS(E_F): 4.27 states/eV/f.u.
crystal system: tetragonal
spin magnetization: 0.00 μB per formula unit
E_form: 65 kJ per mole of atoms



Record 4
Density functional theory data (PBE-GGA) for a geometry-optimized SrTb3Mn structure.

a = 5.435 Å, b = 5.435 Å, c = 5.435 Å
α = 90.00°, β = 90.00°, γ = 90.00°
Space group Pm-3m (No. 221)
Symmetry-distinct sites (fractional):
Sr 0.000 0.000 0.000
Tb 0.000 0.500 0.500
Mn 0.500 0.500 0.500

Values from the calculation:
DOS(E_F): 5.07 states/eV/f.u.
crystal system: cubic
spin magnetization: 0.86 μB per formula unit
E_form: 19 kJ per mole of atoms



Record 5
Density functional theory data (PBE-GGA) for a geometry-optimized SrMnTc structure.

a = 3.285 Å, b = 3.285 Å, c = 11.493 Å
α = 90.00°, β = 90.00°, γ = 90.00°
Space group I4mm (No. 107)
Symmetry-distinct sites (fractional):
Sr 0.000 0.000 0.000
Mn 0.000 0.000 0.727
Tc 0.000 0.000 0.274

Values from the calculation:
DOS(E_F): 1.16 states/eV/f.u.
crystal system: tetragonal
spin magnetization: 0.00 μB per formula unit
E_form: 55 kJ per mole of atoms
energy relative to the lowest polymorph listed for this composition: 34 meV/atom



Record 6
Density functional theory data (PBE-GGA) for a geometry-optimized SrMnTc3 structure.

a = 4.671 Å, b = 4.671 Å, c = 4.671 Å
α = 90.00°, β = 90.00°, γ = 90.00°
Space group Pm-3m (No. 221)
Symmetry-distinct sites (fractional):
Sr 0.000 0.000 0.000
Mn 0.500 0.500 0.500
Tc 0.000 0.000 0.500

Values from the calculation:
DOS(E_F): 9.71 states/eV/f.u.
crystal system: cubic
spin magnetization: 0.35 μB per formula unit
E_form: 326 kJ per mole of atoms
energy relative to the lowest polymorph listed for this composition: 2415 meV/atom